Computed, not measured: an optimized crystal structure of La2MgCl at the GGA-PBE level of DFT.

Lattice parameters (Å, degrees): 4.2515 4.2515 8.2392 75.13 75.13 59.86
Sites, in units of the cell vectors:
1 Mg 0.2500 0.2500 0.2500
2 La 0.4852 0.4852 0.5440
3 Cl 0.7500 0.7500 0.7500
4 La 0.0148 0.0148 0.9560

## Properties
raw formation energy	-0.702	eV per atom
volume	30.752	Å³/atom
electronic total energy	-4.03	eV/atom
total moment	0.00	μB/f.u.
crystal system	monoclinic

Computed, not measured: an optimized crystal structure of LaMg2Cl at the GGA-PBE level of DFT.

Lattice parameters (Å, degrees): 4.8570 3.4138 6.7818 75.33 90.00 90.00
Sites, in units of the cell vectors:
1 Mg 0.5000 0.4726 0.1790
2 La 0.5000 0.7384 0.6486
3 Cl 0.0000 0.2485 0.6292
4 Mg 0.0000 0.0405 0.0432

## Properties
raw formation energy	-0.608	eV per atom
volume	27.196	Å³/atom
electronic total energy	-3.10	eV/atom
total moment	0.00	μB/f.u.
crystal system	monoclinic

Computed, not measured: an optimized crystal structure of LaMgCl3 at the GGA-PBE level of DFT.

Lattice parameters (Å, degrees): 4.9692 4.9692 4.9692 90.00 90.00 90.00
Each line ends with the local moment (μB).
Sites, in units of the cell vectors:
1 La 0.5000 0.5000 0.5000  0.79
2 Mg 0.0000 0.0000 0.0000  0.00
3 Cl 0.0000 0.5000 0.0000  0.01
4 Cl 0.0000 0.0000 0.5000  0.01
5 Cl 0.5000 0.0000 0.0000  0.00

## Properties
raw formation energy	-1.246	eV per atom
volume	24.541	Å³/atom
electronic total energy	-3.66	eV/atom
total moment	1.68	μB/f.u.
crystal system	cubic

Computed, not measured: an optimized crystal structure of LaMg2Cl at the GGA-PBE level of DFT.

Lattice parameters (Å, degrees): 3.3968 3.3968 9.1726 90.00 90.00 90.00
Sites, in units of the cell vectors:
1 Mg 0.0000 0.0000 0.0300
2 Mg 0.0000 0.0000 0.4700
3 Cl 0.5000 0.5000 0.2500
4 La 0.5000 0.5000 0.7500

## Properties
raw formation energy	-0.440	eV per atom
volume	26.458	Å³/atom
electronic total energy	-2.93	eV/atom
total moment	0.00	μB/f.u.
crystal system	tetragonal